[1]
Below is a relaxed Na2HgRh crystal, with properties calculated at the GGA-PBE level.

abc: 4.8474 4.8474 4.8474
angles: 60.00 60.00 60.00
Closest atoms and distances in Å follow each position.
Sites, in units of the cell vectors:
Na 0.2500 0.2500 0.2500  4 Rh 2.97, 4 Hg 2.97
Na 0.7500 0.7500 0.7500  4 Rh 2.97, 4 Hg 2.97
Hg 0.0000 0.0000 0.0000  8 Na 2.97
Rh 0.5000 0.5000 0.5000  8 Na 2.97

Values from the calculation:
Its symmetry is No. 225. For the relative energy among the computed polymorphs, the calculation gives 0.0 kJ/mol of atoms.

[2]
Below is a relaxed Mn2Ni2Pd7 crystal, with properties calculated at the GGA-PBE level.

abc: 6.9287 6.9287 6.9287
angles: 144.52 71.33 120.38
Closest atoms and distances in Å follow each position.
Sites, in units of the cell vectors:
Mn 0.2048 0.0000 0.2048  9 Pd 2.56-2.75, 1 Ni 2.68
Mn 0.7952 0.0000 0.7952  9 Pd 2.56-2.75, 1 Ni 2.68
Ni 0.4966 0.9966 0.5000  8 Pd 2.58-2.63
Ni 0.8029 0.8029 0.0000  7 Pd 2.56-2.64, 2 Mn 2.68
Pd 0.0625 0.7133 0.3492  3 Mn 2.56-2.64, 1 Ni 2.59, 3 Pd 2.72-2.78
Pd 0.1746 0.1746 0.0000  1 Ni 2.56, 2 Mn 2.60, 6 Pd 2.72-2.75
Pd 0.3640 0.7133 0.6508  3 Mn 2.56-2.64, 1 Ni 2.59, 3 Pd 2.72-2.78
Pd 0.3656 0.5041 0.8615  3 Ni 2.58-2.63, 2 Mn 2.75, 3 Pd 2.75-2.88
Pd 0.6426 0.5041 0.1385  3 Ni 2.58-2.63, 2 Mn 2.75, 3 Pd 2.75-2.88
Pd 0.6504 0.2914 0.3590  3 Ni 2.58-2.64, 3 Mn 2.65, 1 Pd 2.88
Pd 0.9324 0.2914 0.6410  3 Ni 2.58-2.64, 3 Mn 2.65, 1 Pd 2.88

Values from the calculation:
As for the electronic total energy: -66.6 eV per formula unit. Its symmetry is No. 44.

[3]
Below is a relaxed LiMg14Zn crystal, with properties calculated at the GGA-PBE level.

abc: 10.3349 6.2656 6.2656
angles: 60.24 90.00 90.00
Closest atoms and distances in Å follow each position.
Sites, in units of the cell vectors:
Li 0.0000 0.0000 0.0000  10 Mg 3.06-3.18, 2 Zn 3.14
Mg 0.0000 0.0025 0.5057  2 Li 3.09-3.18, 8 Mg 3.10-3.16, 2 Zn 3.11-3.16
Mg 0.0000 0.5057 0.0025  2 Li 3.09-3.18, 8 Mg 3.10-3.16, 2 Zn 3.11-3.16
Mg 0.2393 0.3312 0.8287  1 Zn 3.05, 1 Li 3.06, 10 Mg 3.10-3.25
Mg 0.2393 0.8287 0.3312  1 Zn 3.05, 1 Li 3.06, 10 Mg 3.10-3.25
Mg 0.2449 0.3330 0.3330  11 Mg 3.10-3.20, 1 Zn 3.12
Mg 0.2512 0.8321 0.8321  11 Mg 3.12-3.15, 1 Li 3.17
Mg 0.5000 0.0004 0.0004  12 Mg 3.11-3.24
Mg 0.5000 0.9996 0.4968  12 Mg 3.11-3.25
Mg 0.5000 0.4968 0.9996  12 Mg 3.11-3.25
Mg 0.5000 0.4996 0.4996  12 Mg 3.12-3.23
Mg 0.7488 0.8321 0.8321  11 Mg 3.12-3.15, 1 Li 3.17
Mg 0.7551 0.3330 0.3330  11 Mg 3.10-3.20, 1 Zn 3.12
Mg 0.7607 0.3312 0.8287  1 Zn 3.05, 1 Li 3.06, 10 Mg 3.10-3.25
Mg 0.7607 0.8287 0.3312  1 Zn 3.05, 1 Li 3.06, 10 Mg 3.10-3.25
Zn 0.0000 0.5007 0.5007  10 Mg 3.05-3.16, 2 Li 3.14

Values from the calculation:
Its symmetry is No. 38. For the relative energy among the computed polymorphs, the calculation gives 0.0 kJ/mol of atoms.

[4]
Below is a relaxed In2HgCl crystal, with properties calculated at the GGA-PBE level.

abc: 4.3651 4.3651 6.0812
angles: 90.00 90.00 90.00
Closest atoms and distances in Å follow each position.
Sites, in units of the cell vectors:
In 0.0000 0.0000 0.0000  2 Hg 3.04, 4 Cl 3.09
In 0.5000 0.5000 0.5000  2 Cl 3.04, 4 Hg 3.09
Hg 0.0000 0.0000 0.5000  6 In 3.04-3.09
Cl 0.5000 0.5000 0.0000  6 In 3.04-3.09

Values from the calculation:
Its symmetry is No. 123. As for the uncorrected formation energy: -0.37 eV/atom. For the relative energy among the computed polymorphs, the calculation gives 0.0 kJ/mol of atoms.

[5]
Below is a relaxed PmErCu3 crystal, with properties calculated at the GGA-PBE level.

abc: 13.1256 13.1256 4.3085
angles: 90.00 90.00 164.28
Closest atoms and distances in Å follow each position.
Sites, in units of the cell vectors:
Pm 0.2022 0.7978 0.7500  6 Cu 2.91-2.97
Pm 0.7978 0.2022 0.2500  6 Cu 2.91-2.97
Er 0.0692 0.9308 0.2500  12 Cu 2.97-3.07
Er 0.9308 0.0692 0.7500  12 Cu 2.97-3.07
Cu 0.3352 0.6648 0.7500  2 Cu 2.52
Cu 0.3859 0.6141 0.2500  3 Cu 2.40-2.52
Cu 0.4782 0.5218 0.2500  3 Cu 2.40-2.43
Cu 0.5218 0.4782 0.7500  3 Cu 2.40-2.43
Cu 0.6141 0.3859 0.7500  3 Cu 2.40-2.52
Cu 0.6648 0.3352 0.2500  2 Cu 2.52

Values from the calculation:
Its symmetry is No. 63. For the relative energy among the computed polymorphs, the calculation gives 1.6 kJ/mol of atoms.

[6]
Below is a relaxed CdSb2TeBr crystal, with properties calculated at the GGA-PBE level.

abc: 5.5196 5.5196 5.8304
angles: 90.00 90.00 90.00
Closest atoms and distances in Å follow each position.
Sites, in units of the cell vectors:
Cd 0.0000 0.0000 0.0000  4 Te 3.90, 8 Sb 4.01
Sb 0.0000 0.5000 0.5000  2 Br 2.76
Sb 0.5000 0.0000 0.5000  2 Br 2.76
Te 0.5000 0.5000 0.0000  2 Br 2.92
Br 0.5000 0.5000 0.5000  4 Sb 2.76, 2 Te 2.92

Values from the calculation:
Its symmetry is No. 123. As for the uncorrected formation energy: 0.84 eV/atom. For the relative energy among the computed polymorphs, the calculation gives 22.9 kJ/mol of atoms.

[7]
Below is a relaxed NdAl4AgPd2 crystal, with properties calculated at the GGA-PBE level.

abc: 9.4496 9.4496 9.4496
angles: 26.44 26.44 26.44
Closest atoms and distances in Å follow each position.
Sites, in units of the cell vectors:
Nd 0.0000 0.0000 0.0000  8 Al 3.13-3.46
Al 0.1265 0.1265 0.1265  3 Pd 2.63, 3 Ag 2.73
Al 0.4026 0.4026 0.4026  3 Pd 2.60, 1 Ag 2.66
Al 0.5974 0.5974 0.5974  3 Pd 2.60, 1 Ag 2.66
Al 0.8735 0.8735 0.8735  3 Pd 2.63, 3 Ag 2.73
Ag 0.5000 0.5000 0.5000  8 Al 2.66-2.73
Pd 0.2370 0.2370 0.2370  6 Al 2.60-2.63
Pd 0.7630 0.7630 0.7630  6 Al 2.60-2.63

Values from the calculation:
As for the electronic total energy: -37.5 eV per formula unit. Its symmetry is No. 166.

[8]
Below is a relaxed ZrMo2Os crystal, with properties calculated at the GGA-PBE level.

abc: 2.8419 4.5395 5.2585
angles: 90.00 100.94 90.00
Closest atoms and distances in Å follow each position.
Sites, in units of the cell vectors:
Zr 0.0000 0.0000 0.0000  2 Os 2.74, 4 Mo 2.79, 2 Zr 2.84
Mo 0.2461 0.5000 0.7446  4 Mo 2.68-2.84, 2 Os 2.77, 2 Zr 2.79
Mo 0.7539 0.5000 0.2554  4 Mo 2.68-2.84, 2 Os 2.77, 2 Zr 2.79
Os 0.5000 0.0000 0.5000  2 Zr 2.74, 4 Mo 2.77, 2 Os 2.84

Values from the calculation:
Its symmetry is No. 10. For the relative energy among the computed polymorphs, the calculation gives 14.7 kJ/mol of atoms.